Compound: BiIF2
Source: Alexandria
Functional: PBE
Structure: relaxed

Formation energy without anion corrections   -1.7012 eV/atom
Energy above the lowest structure with this stoichiometry   0.000 eV/atom

Cell lengths 3.9463, 7.2611, 7.2384 Å; angles 90.00, 90.00, 105.92 degrees
Atoms (fractional coordinates):
Bi (0.7362, 0.4754, 0.7500)
Bi (0.2638, 0.5246, 0.2500)
I (0.9302, 0.8559, 0.2500)
I (0.0698, 0.1441, 0.7500)
F (0.3036, 0.6058, 0.5695)
F (0.6964, 0.3942, 0.4305)
F (0.3036, 0.6058, 0.9305)
F (0.6964, 0.3942, 0.0695)